[1]
K2AgHg2 at its PBEsol-relaxed geometry. Source: the Alexandria database, functional meta-GGA SCAN.

Calculated values
The symmetry is P4/mbm (127). The calculation puts the density of states at the Fermi level at 0.32 states/eV per atom. The value obtained for the total energy is -37.049 eV/atom. As for the formation energy: -0.1772 eV per atom.

Structure (extended XYZ):
```
10
Lattice="7.468 0.000 0.000 0.000 7.468 0.000 0.000 0.000 5.362" Properties=species:S:1:pos:R:3 pbc="T T T"
K 1.314 2.420 0.000
K 2.420 6.154 0.000
K 5.048 1.314 0.000
K 6.154 5.048 0.000
Ag 0.000 0.000 2.681
Ag 3.734 3.734 2.681
Hg 1.045 4.778 2.681
Hg 2.689 1.045 2.681
Hg 4.778 6.423 2.681
Hg 6.423 2.689 2.681
```



[2]
AlZn2Cd at its PBEsol-relaxed geometry. Source: the Alexandria database, functional meta-GGA SCAN.

Calculated values
The symmetry is Cmmm (65). The calculation puts the density of states at the Fermi level at 0.27 states/eV per atom. The value obtained for the total energy is -16.214 eV/atom. As for the formation energy: 0.0849 eV per atom.

Structure (extended XYZ):
```
8
Lattice="5.930 0.000 0.000 0.000 8.002 0.000 0.000 0.000 2.799" Properties=species:S:1:pos:R:3 pbc="T T T"
Al 0.000 0.000 0.000
Al 2.965 4.001 0.000
Zn 1.482 2.000 1.399
Zn 1.482 6.001 1.399
Zn 4.447 2.000 1.399
Zn 4.447 6.001 1.399
Cd 0.000 4.001 0.000
Cd 2.965 0.000 0.000
```



[3]
KBe2Al at its PBEsol-relaxed geometry. Source: the Alexandria database, functional meta-GGA SCAN.

Calculated values
The symmetry is Cmmm (65). The calculation puts the density of states at the Fermi level at 0.41 states/eV per atom. The value obtained for the total energy is -5.143 eV/atom. As for the formation energy: 1.0534 eV per atom.

Structure (extended XYZ):
```
8
Lattice="6.507 0.000 0.000 0.000 8.582 0.000 0.000 0.000 2.557" Properties=species:S:1:pos:R:3 pbc="T T T"
K 0.000 0.000 0.000
K 3.254 4.291 0.000
Be 1.627 2.145 1.278
Be 1.627 6.436 1.278
Be 4.880 2.145 1.278
Be 4.880 6.436 1.278
Al 0.000 4.291 0.000
Al 3.254 0.000 0.000
```



[4]
TlInIr at its PBEsol-relaxed geometry. Source: the Alexandria database, functional meta-GGA SCAN.

Calculated values
The symmetry is I4mm (107). The calculation puts the density of states at the Fermi level at 0.42 states/eV per atom. The value obtained for the total energy is -58.653 eV/atom. As for the formation energy: 0.2949 eV per atom.

Structure (extended XYZ):
```
6
Lattice="3.119 0.000 0.000 0.000 3.119 0.000 0.000 0.000 12.534" Properties=species:S:1:pos:R:3 pbc="T T T"
Tl 0.000 0.000 0.000
Tl 1.560 1.560 6.267
In 0.000 0.000 8.951
In 1.560 1.560 2.684
Ir 0.000 0.000 4.317
Ir 1.560 1.560 10.584
```



[5]
ZnCd2Ag at its PBEsol-relaxed geometry. Source: the Alexandria database, functional meta-GGA SCAN.

Calculated values
The symmetry is Cmmm (65). The calculation puts the density of states at the Fermi level at 0.23 states/eV per atom. The value obtained for the total energy is -26.359 eV/atom. As for the formation energy: 0.0685 eV per atom.

Structure (extended XYZ):
```
8
Lattice="3.426 0.000 0.000 0.000 4.656 0.000 0.000 0.000 8.977" Properties=species:S:1:pos:R:3 pbc="T T T"
Zn 0.000 0.000 0.000
Zn 1.713 2.328 0.000
Cd 0.000 2.328 2.218
Cd 0.000 2.328 6.759
Cd 1.713 0.000 2.218
Cd 1.713 0.000 6.759
Ag 0.000 0.000 4.488
Ag 1.713 2.328 4.488
```



[6]
CoCuNi2Pd at its PBEsol-relaxed geometry. Source: the Alexandria database, functional meta-GGA SCAN.

Calculated values
The symmetry is P4/mmm (123). The calculation puts the density of states at the Fermi level at 0.48 states/eV per atom. The value obtained for the total energy is -18.127 eV/atom. As for the formation energy: 1.3976 eV per atom.

Structure (extended XYZ):
```
5
Lattice="4.426 0.000 0.000 0.000 4.426 0.000 0.000 0.000 4.495" Properties=species:S:1:pos:R:3 pbc="T T T"
Co 0.000 0.000 0.000
Cu 2.213 2.213 0.000
Ni 0.000 2.213 2.248
Ni 2.213 0.000 2.248
Pd 2.213 2.213 2.248
```



[7]
TaCl at its PBEsol-relaxed geometry. Source: the Alexandria database, functional meta-GGA SCAN.

Calculated values
The symmetry is Pm-3m (221). The calculation puts the density of states at the Fermi level at 1.46 states/eV per atom. The value obtained for the total energy is -36.317 eV/atom.

Structure (extended XYZ):
```
2
Lattice="3.108 0.000 0.000 0.000 3.108 0.000 0.000 0.000 3.108" Properties=species:S:1:pos:R:3 pbc="T T T"
Ta 0.000 0.000 0.000
Cl 1.554 1.554 1.554
```



[8]
NiS at its PBEsol-relaxed geometry. Source: the Alexandria database, functional meta-GGA SCAN.

Calculated values
The symmetry is P6_3/mmc (194). The calculation puts the density of states at the Fermi level at 0.55 states/eV per atom. The value obtained for the total energy is -13.225 eV/atom.

Structure (extended XYZ):
```
4
Lattice="3.403 0.000 0.000 -1.701 2.947 0.000 0.000 0.000 5.070" Properties=species:S:1:pos:R:3 pbc="T T T"
Ni 0.000 0.000 0.000
Ni 0.000 0.000 2.535
S 0.000 1.965 1.267
S 1.701 0.982 3.802
```



[9]
RbReNO2 at its PBEsol-relaxed geometry. Source: the Alexandria database, functional meta-GGA SCAN.

Calculated values
The symmetry is P4/mmm (123). The calculation puts the density of states at the Fermi level at 0.15 states/eV per atom. The value obtained for the total energy is -23.818 eV/atom.

Structure (extended XYZ):
```
5
Lattice="3.964 0.000 0.000 0.000 3.964 0.000 0.000 0.000 3.895" Properties=species:S:1:pos:R:3 pbc="T T T"
Rb 0.000 0.000 0.000
Re 1.982 1.982 1.948
N 1.982 1.982 0.000
O 0.000 1.982 1.948
O 1.982 0.000 1.948
```



[10]
InAgSb at its PBEsol-relaxed geometry. Source: the Alexandria database, functional meta-GGA SCAN.

Calculated values
The symmetry is Fmm2 (42). The calculation puts the density of states at the Fermi level at 0.40 states/eV per atom. The value obtained for the total energy is -33.865 eV/atom.

Structure (extended XYZ):
```
12
Lattice="4.571 0.000 0.000 0.000 4.593 0.000 0.000 0.000 12.874" Properties=species:S:1:pos:R:3 pbc="T T T"
In 0.000 0.000 0.000
In 0.000 2.296 6.437
In 2.285 0.000 6.437
In 2.285 2.296 0.000
Ag 0.000 0.000 8.384
Ag 0.000 2.296 1.947
Ag 2.285 0.000 1.947
Ag 2.285 2.296 8.384
Sb 0.000 0.000 3.908
Sb 0.000 2.296 10.345
Sb 2.285 0.000 10.345
Sb 2.285 2.296 3.908
```



[11]
Ba2CaI6 at its PBEsol-relaxed geometry. Source: the Alexandria database, functional meta-GGA SCAN.

Calculated values
The symmetry is P-31m (162). The calculation puts the density of states at the Fermi level at 0.00 states/eV per atom. The value obtained for the total energy is -36.193 eV/atom.

Structure (extended XYZ):
```
9
Lattice="8.412 0.000 0.000 -4.206 7.285 0.000 0.000 0.000 6.944" Properties=species:S:1:pos:R:3 pbc="T T T"
Ba 0.000 4.856 0.000
Ba 4.206 2.428 0.000
Ca 0.000 0.000 3.472
I -1.335 2.312 1.839
I -2.871 4.972 5.105
I 2.670 0.000 1.839
I 1.335 2.312 5.105
I 5.742 0.000 5.105
I 2.871 4.972 1.839
```



[12]
As2P2S at its PBEsol-relaxed geometry. Source: the Alexandria database, functional meta-GGA SCAN.

Calculated values
The symmetry is P4/mbm (127). The calculation puts the density of states at the Fermi level at 0.58 states/eV per atom. The value obtained for the total energy is -13.695 eV/atom.

Structure (extended XYZ):
```
10
Lattice="7.307 0.000 0.000 0.000 7.307 0.000 0.000 0.000 3.547" Properties=species:S:1:pos:R:3 pbc="T T T"
As 1.747 1.906 0.000
As 1.906 5.560 0.000
As 5.401 1.747 0.000
As 5.560 5.401 0.000
P 0.800 4.454 1.774
P 2.853 0.800 1.774
P 4.454 6.507 1.774
P 6.507 2.853 1.774
S 0.000 0.000 0.000
S 3.654 3.654 0.000
```



What is the formula in the twelfth record? As2P2S